1.
SrCo2Ru | GGA-PBEsol | optimized geometry

Lattice parameters (Å, degrees): 6.2916 6.2916 6.2916 90.00 90.00 90.00
Space group Fm-3m (No. 225)
One atom of each set of equivalent atoms:
Sr 0.0000 0.0000 0.0000
Co 0.2500 0.2500 0.2500
Ru 0.0000 0.0000 0.5000

Output
- DFT formation energy: 0.82 eV per atom
- Energy above the most stable polymorph in this dataset: 0.525 eV/atom

***

2.
SrCo2Ru | GGA-PBEsol | optimized geometry

Lattice parameters (Å, degrees): 4.0806 4.0806 15.7730 90.00 90.00 120.00
Space group R-3m (No. 166, hexagonal axes)
One atom of each set of equivalent atoms:
Sr 0.0000 0.0000 0.0000
Co 0.0000 0.0000 0.1887
Ru 0.0000 0.0000 0.5000

Output
- DFT formation energy: 0.29 eV per atom
- Energy above the most stable polymorph in this dataset: 0.000 eV/atom

***

3.
SrCoRu2 | GGA-PBEsol | optimized geometry

Lattice parameters (Å, degrees): 2.8448 2.8448 7.8593 90.00 90.00 90.00
Space group P4/mmm (No. 123)
One atom of each set of equivalent atoms:
Sr 0.0000 0.0000 0.0000
Co 0.0000 0.0000 0.5000
Ru 0.5000 0.5000 0.3166

Output
- DFT formation energy: 0.65 eV per atom
- Energy above the most stable polymorph in this dataset: 0.000 eV/atom

***

4.
Ta3CoRu | GGA-PBEsol | optimized geometry

Lattice parameters (Å, degrees): 4.4574 4.4574 4.4574 90.00 90.00 90.00
Space group Pm-3m (No. 221)
One atom of each set of equivalent atoms:
Ta 0.0000 0.0000 0.5000
Co 0.0000 0.0000 0.0000
Ru 0.5000 0.5000 0.5000

Output
- DFT formation energy: 0.90 eV per atom

***

5.
Ta4CoRu | GGA-PBEsol | optimized geometry

Lattice parameters (Å, degrees): 7.3732 7.3732 7.3732 90.00 90.00 90.00
Space group F-43m (No. 216)
One atom of each set of equivalent atoms:
Ta 0.1247 0.1247 0.1247
Co 0.0000 0.0000 0.5000
Ru 0.2500 0.2500 0.7500

Output
- DFT formation energy: 0.61 eV per atom

***

6.
TaCoRu2 | GGA-PBEsol | optimized geometry

Lattice parameters (Å, degrees): 3.7725 3.7725 7.5634 90.00 90.00 90.00
Space group I-4m2 (No. 119)
One atom of each set of equivalent atoms:
Ta 0.0000 0.0000 0.0000
Co 0.0000 0.5000 0.2500
Ru 0.0000 0.0000 0.5000
Ru 0.0000 0.5000 0.7500

Output
- DFT formation energy: -0.13 eV per atom

***

E, respectively: -96.90, -78.97, -27.33, -51.07, -257.74, -82.34 eV per cell.